# 1
VASP calculation (PBE-GGA) on an optimized crystal structure of Hf3ZnAu.

Values from the calculation:
- polymorph energy (0 for the lowest one) (meV per atom) = 736
- SG = Pm-3m
- D(E_F) (states/eV/f.u.) = 8.34
- formation energy from the elements (meV per atom) = 636
- total DFT energy (no corrections) (eV for the cell shown) = -31.23
- V (A^3/atom) = 22.93

a b c (Å): 4.858 4.858 4.858
angles (deg): 90.00 90.00 90.00
Fractional positions:
Hf: 0.000 0.500 0.000
Hf: 0.000 0.000 0.500
Hf: 0.500 0.000 0.000
Zn: 0.000 0.000 0.000
Au: 0.500 0.500 0.500

=====

# 2
VASP calculation (PBE-GGA) on an optimized crystal structure of TaCd2Mo.

Values from the calculation:
- polymorph energy (0 for the lowest one) (meV per atom) = 449
- SG = P4/mmm
- D(E_F) (states/eV/f.u.) = 3.08
- formation energy from the elements (meV per atom) = 628
- total DFT energy (no corrections) (eV for the cell shown) = -22.00
- V (A^3/atom) = 18.59

a b c (Å): 3.643 3.643 5.604
angles (deg): 90.00 90.00 90.00
Fractional positions:
Cd: 0.000 0.000 0.004
Cd: 0.000 0.000 0.496
Mo: 0.500 0.500 0.250
Ta: 0.500 0.500 0.750

=====

# 3
VASP calculation (PBE-GGA) on an optimized crystal structure of LaOsF3.

Values from the calculation:
- polymorph energy (0 for the lowest one) (meV per atom) = 0
- SG = Pm-3m
- E_form (uncorrected) (meV per atom) = -1586
- D(E_F) (states/eV/f.u.) = 11.86
- total DFT energy (no corrections) (eV for the cell shown) = -29.70
- V (A^3/atom) = 21.23

a b c (Å): 4.735 4.735 4.735
angles (deg): 90.00 90.00 90.00
Fractional positions:
F: 0.000 0.500 0.000
F: 0.000 0.000 0.500
F: 0.500 0.000 0.000
Os: 0.500 0.500 0.500
La: 0.000 0.000 0.000